PRuW2 PBE-GGA optimized geometry; crystal system = orthorhombic; space-group type = Immm (71); calculated formation energy = -0.0128 eV per atom
1.0
-1.503 2.220 4.345
1.503 -2.220 4.345
1.503 2.220 -4.345
P Ru W
1 1 2
Direct
0.500 0.000 0.500 P
0.000 0.500 0.500 Ru
0.727 0.727 0.000 W
0.273 0.273 0.000 W

ErGeH PBE-GGA optimized geometry; VASP energy = -4.701 eV per atom; crystal system = hexagonal; space-group type = P-6m2 (187)
1.0
4.658 0.000 0.000
0.000 3.534 0.000
0.000 -1.767 3.061
H Ge Er
1 1 1
Direct
0.167 0.333 0.667 H
0.667 0.667 0.333 Ge
0.166 0.000 0.000 Er

K3ScTe PBE-GGA optimized geometry; VASP energy = -2.480 eV per atom; crystal system = cubic; space-group type = Pm-3m (221)
1.0
-1.513 0.218 6.476
-6.118 -2.240 -1.354
2.136 -6.262 0.710
Sc K Te
1 3 1
Direct
0.500 0.500 0.500 Sc
0.000 0.500 0.000 K
0.000 0.000 0.500 K
0.500 0.000 0.000 K
0.000 0.000 0.000 Te

ReNi2Pt PBE-GGA optimized geometry; crystal system = orthorhombic; space-group type = Immm (71); calculated formation energy = 0.1672 eV per atom
1.0
5.116 0.002 -0.001
2.346 4.546 0.001
-3.069 -3.360 2.338
Ni Pt Re
2 1 1
Direct
0.009 0.009 0.000 Ni
0.491 0.491 0.000 Ni
0.750 0.250 0.500 Pt
0.250 0.750 0.500 Re

Th2CuAuC PBE-GGA optimized geometry; crystal system = monoclinic; space-group type = P2_1/m (11); calculated formation energy = -0.3473 eV per atom
1.0
-1.260 1.299 3.370
-5.791 -4.225 -0.537
5.991 -4.144 3.836
Th Cu Au C
4 2 2 2
Direct
0.750 0.812 0.609 Th
0.750 0.795 0.036 Th
0.250 0.188 0.391 Th
0.250 0.205 0.964 Th
0.250 0.557 0.748 Cu
0.750 0.443 0.252 Cu
0.250 0.703 0.301 Au
0.750 0.297 0.699 Au
0.250 0.853 0.825 C
0.750 0.147 0.175 C

Ce3Co2As4Pd2 PBE-GGA optimized geometry; crystal system = trigonal; space-group type = P-3m1 (164); calculated formation energy = -0.8832 eV per atom
1.0
4.142 0.000 0.000
-2.071 3.587 0.000
0.000 0.000 14.343
Ce Co As Pd
3 2 4 2
Direct
0.000 0.000 0.736 Ce
0.000 0.000 0.000 Ce
0.000 0.000 0.264 Ce
0.667 0.333 0.853 Co
0.333 0.667 0.147 Co
0.667 0.333 0.129 As
0.333 0.667 0.871 As
0.667 0.333 0.616 As
0.333 0.667 0.384 As
0.667 0.333 0.439 Pd
0.333 0.667 0.561 Pd